# Rb2CaInBi2 | Alexandria via LeMat-Bulk | PBE | optimized geometry
# Volume   42.09 A^3/atom
# Uncorrected energy   -2.879 eV/atom
# DFT formation energy   -45.6 kJ per mole of atoms
data_Rb2CaInBi2
_chemical_formula_sum 'Rb8 Ca4 In4 Bi8'
_cell_length_a 7.412
_cell_length_b 17.779
_cell_length_c 7.666
_cell_angle_alpha 90.00
_cell_angle_beta 90.00
_cell_angle_gamma 90.00
_symmetry_space_group_name_H-M 'I b a m'
_symmetry_Int_Tables_number 72
_symmetry_space_group_name_Hall '-I 2 2c'
loop_
_atom_site_label
_atom_site_fract_x
_atom_site_fract_y
_atom_site_fract_z
Rb1 0.231 0.175 0.000
Ca1 0.000 0.500 0.250
In1 0.000 0.000 0.250
Bi1 0.250 0.104 0.500